Entry 1:
# Rb2AuBr2Cl2 | Alexandria via LeMat-Bulk | PBE | relaxed
data_Rb2AuBr2Cl2
_chemical_formula_sum 'Rb2 Au1 Br2 Cl2'
_symmetry_space_group_name_H-M 'P 1'
_symmetry_Int_Tables_number 1
_cell_length_a 5.9967
_cell_length_b 6.9031
_cell_length_c 7.1325
_cell_angle_alpha 115.86
_cell_angle_beta 100.99
_cell_angle_gamma 90.08
loop_
_symmetry_equiv_pos_as_xyz
'x,y,z'
loop_
_atom_site_label
_atom_site_fract_x
_atom_site_fract_y
_atom_site_fract_z
Rb1 0.2378 0.1744 0.3908
Rb2 0.7622 0.8256 0.6092
Au1 0.0000 0.5000 0.0000
Br1 0.2592 0.1811 0.9074
Br2 0.7408 0.8189 0.0926
Cl1 0.2052 0.6610 0.3750
Cl2 0.7948 0.3390 0.6250
# Crystal system   triclinic

---

Entry 2:
# Rb2AuBrCl6 | Alexandria via LeMat-Bulk | PBE | relaxed
data_Rb2AuBrCl6
_chemical_formula_sum 'Rb2 Au1 Br1 Cl6'
_symmetry_space_group_name_H-M 'P 1'
_symmetry_Int_Tables_number 1
_cell_length_a 7.8080
_cell_length_b 7.8080
_cell_length_c 7.8080
_cell_angle_alpha 120.07
_cell_angle_beta 120.07
_cell_angle_gamma 89.87
loop_
_symmetry_equiv_pos_as_xyz
'x,y,z'
loop_
_atom_site_label
_atom_site_fract_x
_atom_site_fract_y
_atom_site_fract_z
Rb1 0.2500 0.7500 0.5000
Rb2 0.7500 0.2500 0.5000
Au1 0.0000 0.0000 0.0000
Br1 0.5000 0.5000 0.0000
Cl1 0.2120 0.2120 0.4240
Cl2 0.2120 0.7880 0.0000
Cl3 0.2819 0.2819 0.0000
Cl4 0.7181 0.7181 0.0000
Cl5 0.7880 0.2120 0.0000
Cl6 0.7880 0.7880 0.5760
# Crystal system   tetragonal

---

no.,theoretical density (g/cm³),formation energy without anion corrections (eV/atom)
1,3.8,-1.1445
2,3.3,-0.9429